10
Lattice="-1.9636 -3.8189 4.5498 3.6001 -4.5767 -2.2877 4.0847 -2.8842 3.6434" Properties=species:S:1:pos:R:3 comment="Cs2ScFeF6, relaxed, DFT PBE with a Hubbard U" total_energy_ev_per_cell=-53.237 pbc="T T T"
F 0.4218 -2.1638 0.5830
F 2.4833 -3.5282 2.4117
F 1.2147 -6.2318 1.6791
F -0.5297 -4.0142 2.7876
F 2.1662 -4.3814 -0.5255
F 3.2379 -7.7516 3.4938
Sc 0.8182 -4.1978 1.1310
Cs 1.4697 -5.4504 4.6621
Cs 4.2515 -5.8293 1.2434
Fe 0.0000 0.0000 0.0000